Record 1
DFT (PBE) results for a relaxed structure of K2NiBr.

Computed properties:
The calculation puts the calculated total energy at -10.384 eV/cell.

a = 5.756 Å, b = 5.756 Å, c = 5.756 Å
α = 60.00°, β = 60.00°, γ = 60.00°
Site moments in Bohr magnetons follow the coordinates.
Fractional coordinates of all 4 atoms:
Ni  0.000  0.000  0.000  0.98
K  0.250  0.250  0.250  0.00
K  0.750  0.750  0.750  0.00
Br  0.500  0.500  0.500  0.01

Record 2
DFT (PBE) results for a relaxed structure of LaFeCl2.

Computed properties:
The calculation puts the calculated total energy at -19.842 eV/cell.

a = 5.738 Å, b = 5.738 Å, c = 4.976 Å
α = 70.52°, β = 70.52°, γ = 35.62°
Site moments in Bohr magnetons follow the coordinates.
Fractional coordinates of all 4 atoms:
Cl  0.994  0.994  0.081  0.06
Cl  0.781  0.781  0.715  0.03
Fe  0.491  0.491  0.460  2.91
La  0.234  0.234  0.244  -0.19

Record 3
DFT (PBE) results for a relaxed structure of ZrGaCu.

Computed properties:
The calculation puts the calculated total energy at -33.150 eV/cell. The formation energy is -0.301 eV per atom.

a = 5.676 Å, b = 5.654 Å, c = 4.160 Å
α = 68.46°, β = 89.95°, γ = 121.87°
Fractional coordinates of all 6 atoms:
Zr  0.224  0.675  0.680
Zr  0.995  0.956  0.039
Ga  0.582  0.114  0.961
Ga  0.378  0.359  0.338
Cu  0.668  0.626  0.704
Cu  0.867  0.245  0.395

Record 4
DFT (PBE) results for a relaxed structure of AlIn.

Computed properties:
The calculation puts the calculated total energy at -37.006 eV/cell. The formation energy is 0.157 eV per atom.

a = 11.440 Å, b = 3.742 Å, c = 6.437 Å
α = 90.00°, β = 90.00°, γ = 90.00°
Fractional coordinates of all 12 atoms:
Al  0.881  0.000  0.643
Al  0.119  0.000  0.643
Al  0.381  0.500  0.143
Al  0.619  0.500  0.143
Al  0.000  0.500  0.398
Al  0.500  0.000  0.898
In  0.813  0.000  0.189
In  0.187  0.000  0.189
In  0.313  0.500  0.689
In  0.687  0.500  0.689
In  0.000  0.500  0.940
In  0.500  0.000  0.440

Record 5
DFT (PBE) results for a relaxed structure of Dy2ErTm3Se6.

Computed properties:
The calculation puts the calculated total energy at -68.423 eV/cell.

a = 4.024 Å, b = 8.117 Å, c = 9.037 Å
α = 103.49°, β = 102.86°, γ = 90.00°
Fractional coordinates of all 12 atoms:
Dy  0.833  0.665  0.665
Dy  0.167  0.335  0.335
Er  0.500  0.000  0.000
Tm  0.500  0.500  0.000
Tm  0.832  0.167  0.664
Tm  0.168  0.833  0.336
Se  0.333  0.921  0.667
Se  0.665  0.586  0.330
Se  0.667  0.079  0.333
Se  0.999  0.251  0.997
Se  0.001  0.749  0.003
Se  0.335  0.414  0.670

Record 6
DFT (PBE) results for a relaxed structure of LiZr2Ga.

Computed properties:
The calculation puts the calculated total energy at -22.926 eV/cell. The formation energy is -0.222 eV per atom.

a = 3.894 Å, b = 4.395 Å, c = 4.395 Å
α = 90.00°, β = 90.00°, γ = 90.00°
Fractional coordinates of all 4 atoms:
Ga  0.500  0.500  0.500
Zr  0.000  0.000  0.500
Zr  0.000  0.500  0.000
Li  0.500  0.000  0.000

Record 7
DFT (PBE) results for a relaxed structure of MgTcOs2.

Computed properties:
The calculation puts the calculated total energy at -33.069 eV/cell. The formation energy is 0.338 eV per atom.

a = 4.788 Å, b = 4.788 Å, c = 2.741 Å
α = 90.00°, β = 90.00°, γ = 108.61°
Fractional coordinates of all 4 atoms:
Mg  0.000  0.500  0.500
Os  0.000  0.000  0.000
Os  0.500  0.500  0.000
Tc  0.500  0.000  0.500

Record 8
DFT (PBE) results for a relaxed structure of La4Ce3PuN8.

Computed properties:
The calculation puts the calculated total energy at -140.565 eV/cell.

a = 7.250 Å, b = 7.289 Å, c = 7.250 Å
α = 119.83°, β = 120.00°, γ = 90.00°
Site moments in Bohr magnetons follow the coordinates.
Fractional coordinates of all 16 atoms:
La  0.500  0.000  0.000  0.05
La  0.500  0.000  0.500  0.03
La  0.000  0.000  0.000  0.03
La  0.000  0.000  0.500  0.03
Ce  0.500  0.500  0.000  0.14
Ce  0.500  0.500  0.500  0.14
Ce  0.000  0.500  0.500  0.14
Pu  0.000  0.500  0.000  4.51
N  0.239  0.723  0.985  -0.06
N  0.239  0.723  0.478  -0.06
N  0.258  0.275  0.516  -0.01
N  0.746  0.723  0.985  -0.06
N  0.254  0.277  0.015  -0.06
N  0.742  0.725  0.484  -0.01
N  0.761  0.277  0.522  -0.06
N  0.761  0.277  0.015  -0.06